[1]
5
Lattice="-0.750 -3.718 -2.887 3.116 -2.840 2.848 -3.693 -1.349 2.696" Properties=species:S:1:pos:R:3 comment="SrLi2NbPd, relaxed, DFT GGA-PBE" dft_energy_ev_per_cell=-14.5 delta_e_f_mev_per_atom=1255 pbc="T T T"
Li -0.375 -1.859 -1.444
Li -1.847 -0.674 1.348
Nb -0.663 -3.953 1.328
Sr 0.000 0.000 0.000
Pd 1.558 -1.420 1.424



[2]
3
Lattice="-0.211 -2.659 0.687 4.329 -0.451 -0.416 -1.719 1.133 3.857" Properties=species:S:1:pos:R:3 comment="LiNbPt, relaxed, DFT GGA-PBE" dft_energy_ev_per_cell=-19.0 e_above_lowest_polymorph_ev_per_atom=0.0000 delta_e_f_mev_per_atom=-338 pbc="T T T"
Nb -0.001 -0.018 0.005
Li 0.211 -0.480 2.713
Pt 2.190 -1.478 1.410